Computed, not measured: a relaxed structure of Mg2Rh at the GGA-PBEsol level of DFT.

The space group is I4_1/amd (No. 141, origin choice 2) and the conventional cell measures 3.0872, 3.0872 and 23.4266 Å, with angles of 90.00, 90.00 and 90.00 degrees. Symmetry generates all atoms from Mg at (0.0000, 0.2500, 0.3113) and Rh at (0.0000, 0.2500, 0.8750).

The density of states at the Fermi level is 4.0 states/eV/cell. For the formation energy, the calculation gives -0.2741 eV/atom.

Computed, not measured: a relaxed structure of Mg5Rh at the GGA-PBEsol level of DFT.

The space group is Cmmm (No. 65) and the conventional cell measures 4.3498, 11.6966 and 4.4355 Å, with angles of 90.00, 90.00 and 90.00 degrees. Symmetry generates all atoms from Mg at (0.0000, 0.0000, 0.0000), Mg at (0.0000, 0.1516, 0.5000), Mg at (0.0000, 0.3469, 0.0000) and Rh at (0.0000, 0.5000, 0.5000).

The density of states at the Fermi level is 4.8 states/eV/cell. For the formation energy, the calculation gives -0.1536 eV/atom. The distance to the lowest polymorph of the same formula comes out at 30 meV per atom.

Computed, not measured: a relaxed structure of Mg2Rh at the GGA-PBEsol level of DFT.

The space group is P6_3/mmc (No. 194) and the conventional cell measures 4.5246, 4.5246 and 5.5608 Å, with angles of 90.00, 90.00 and 120.00 degrees. Symmetry generates all atoms from Mg at (0.0000, 0.0000, 0.0000), Mg at (0.3333, 0.6667, 0.2500) and Rh at (0.3333, 0.6667, 0.7500).

The density of states at the Fermi level is 2.8 states/eV/cell. For the formation energy, the calculation gives -0.2816 eV/atom.

Computed, not measured: a relaxed structure of Mg5Rh3 at the GGA-PBEsol level of DFT.

The space group is P6_3/mcm (No. 193) and the conventional cell measures 7.6548, 7.6548 and 5.2664 Å, with angles of 90.00, 90.00 and 120.00 degrees. Symmetry generates all atoms from Mg at (0.0000, 0.2549, 0.2500), Mg at (0.3333, 0.6667, 0.0000) and Rh at (0.0000, 0.3965, 0.7500).

The density of states at the Fermi level is 8.9 states/eV/cell. For the formation energy, the calculation gives -0.3026 eV/atom. The distance to the lowest polymorph of the same formula comes out at 41 meV per atom.

Computed, not measured: a relaxed structure of Mg2Rh at the GGA-PBEsol level of DFT.

The space group is Fd-3m (No. 227, origin choice 2) and the conventional cell measures 11.8334, 11.8334 and 11.8334 Å, with angles of 90.00, 90.00 and 90.00 degrees. Symmetry generates all atoms from Mg at (0.0000, 0.0000, 0.0000), Mg at (0.0738, 0.3750, 0.8750) and Rh at (0.0366, 0.0366, 0.2134).

The density of states at the Fermi level is 29.6 states/eV/cell. For the formation energy, the calculation gives -0.3498 eV/atom.

Computed, not measured: a relaxed structure of Mg2Rh at the GGA-PBEsol level of DFT.

The space group is Cmcm (No. 63) and the conventional cell measures 3.1775, 13.6368 and 4.4784 Å, with angles of 90.00, 90.00 and 90.00 degrees. Symmetry generates all atoms from Mg at (0.0000, 0.0623, 0.2500), Mg at (0.0000, 0.2583, 0.7500) and Rh at (0.0000, 0.3977, 0.2500).

The density of states at the Fermi level is 3.5 states/eV/cell. For the formation energy, the calculation gives -0.3400 eV/atom.

Computed, not measured: a relaxed structure of Mg5Rh at the GGA-PBEsol level of DFT.

The space group is P4/mmm (No. 123) and the conventional cell measures 3.2484, 3.2484 and 11.0267 Å, with angles of 90.00, 90.00 and 90.00 degrees. Symmetry generates all atoms from Mg at (0.0000, 0.0000, 0.0000), Mg at (0.0000, 0.0000, 0.3738), Mg at (0.5000, 0.5000, 0.1891) and Rh at (0.5000, 0.5000, 0.5000).

The density of states at the Fermi level is 2.3 states/eV/cell. For the formation energy, the calculation gives -0.1696 eV/atom. The distance to the lowest polymorph of the same formula comes out at 14 meV per atom.

Computed, not measured: a relaxed structure of Mg5Rh at the GGA-PBEsol level of DFT.

The space group is P-62m (No. 189) and the conventional cell measures 5.2252, 5.2252 and 4.7287 Å, with angles of 90.00, 90.00 and 120.00 degrees. Symmetry generates all atoms from Mg at (0.0000, 0.3107, 0.0000), Mg at (0.3333, 0.6667, 0.5000) and Rh at (0.0000, 0.0000, 0.5000).

The density of states at the Fermi level is 2.9 states/eV/cell. For the formation energy, the calculation gives -0.1364 eV/atom. The distance to the lowest polymorph of the same formula comes out at 47 meV per atom.

Computed, not measured: a relaxed structure of Mg2Rh at the GGA-PBEsol level of DFT.

The space group is I4/mmm (No. 139) and the conventional cell measures 3.1522, 3.1522 and 10.2099 Å, with angles of 90.00, 90.00 and 90.00 degrees. Symmetry generates all atoms from Mg at (0.0000, 0.0000, 0.1424) and Rh at (0.0000, 0.0000, 0.5000).

The density of states at the Fermi level is 2.1 states/eV/cell. For the formation energy, the calculation gives -0.3667 eV/atom.

Computed, not measured: a relaxed structure of Mg2Rh at the GGA-PBEsol level of DFT.

The space group is P-62m (No. 189) and the conventional cell measures 7.4666, 7.4666 and 3.1051 Å, with angles of 90.00, 90.00 and 120.00 degrees. Symmetry generates all atoms from Mg at (0.0000, 0.2817, 0.0000), Mg at (0.0000, 0.6146, 0.5000), Rh at (0.0000, 0.0000, 0.5000) and Rh at (0.3333, 0.6667, 0.0000).

The density of states at the Fermi level is 3.1 states/eV/cell. For the formation energy, the calculation gives -0.3231 eV/atom.

Computed, not measured: a relaxed structure of MgRu2Rh at the GGA-PBEsol level of DFT.

The space group is Amm2 (No. 38) and the conventional cell measures 4.1103, 2.6745 and 10.2140 Å, with angles of 90.00, 90.00 and 90.00 degrees. Symmetry generates all atoms from Mg at (0.0000, 0.0000, 0.0000), Ru at (0.0000, 0.0000, 0.7443), Ru at (0.5000, 0.0000, 0.1511) and Rh at (0.5000, 0.0000, 0.4006).

The density of states at the Fermi level is 7.4 states/eV/cell. For the formation energy, the calculation gives 0.1396 eV/atom.

Computed, not measured: a relaxed structure of MgSc2Rh at the GGA-PBEsol level of DFT.

The space group is Pm (No. 6) and the conventional cell measures 3.1715, 4.4195 and 5.7052 Å, with angles of 90.00, 106.14 and 90.00 degrees. Symmetry generates all atoms from Mg at (0.0000, 0.0000, 0.0000), Sc at (0.3892, 0.5000, 0.7787), Sc at (0.7225, 0.0000, 0.4466) and Rh at (0.1483, 0.5000, 0.3000).

The density of states at the Fermi level is 3.7 states/eV/cell. For the formation energy, the calculation gives -0.3043 eV/atom.

Computed, not measured: a relaxed structure of MgSc2Rh at the GGA-PBEsol level of DFT.

The space group is P4mm (No. 99) and the conventional cell measures 3.1994, 3.1994 and 7.6389 Å, with angles of 90.00, 90.00 and 90.00 degrees. Symmetry generates all atoms from Mg at (0.0000, 0.0000, 0.0000), Sc at (0.0000, 0.0000, 0.3936), Sc at (0.5000, 0.5000, 0.7041) and Rh at (0.5000, 0.5000, 0.2071).

The density of states at the Fermi level is 4.2 states/eV/cell. For the formation energy, the calculation gives -0.3639 eV/atom.

Computed, not measured: a relaxed structure of MgScRh at the GGA-PBEsol level of DFT.

The space group is I4mm (No. 107) and the conventional cell measures 3.1913, 3.1913 and 10.6654 Å, with angles of 90.00, 90.00 and 90.00 degrees. Symmetry generates all atoms from Mg at (0.0000, 0.0000, 0.0000), Sc at (0.0000, 0.0000, 0.2817) and Rh at (0.0000, 0.0000, 0.6486).

The density of states at the Fermi level is 1.6 states/eV/cell. For the formation energy, the calculation gives -0.5625 eV/atom.